Entry from Alexandria via LeMat-Bulk: a relaxed U2Ge5Pt3 crystal (PBE-GGA).

Summary:
crystal system = orthorhombic
E = -6.8357 eV/atom
ΔE_f = -457 meV per atom
mass density = 12574 kg/m3

Cell: 4.409 24.696 6.910 Å, 90.00 90.00 90.00°
Space group Cmc2_1 (No. 36)
Asymmetric unit:
U 0.000 0.019 0.000 [4 per cell]
U 0.000 0.327 0.013 [4 per cell]
Ge 0.000 0.103 0.350 [4 per cell]
Ge 0.000 0.207 0.816 [4 per cell]
Ge 0.000 0.212 0.236 [4 per cell]
Ge 0.000 0.382 0.480 [4 per cell]
Ge 0.000 0.452 0.167 [4 per cell]
Pt 0.000 0.106 0.732 [4 per cell]
Pt 0.000 0.280 0.535 [4 per cell]
Pt 0.000 0.444 0.782 [4 per cell]